{
  "formula": "Tb7Ho4Th",
  "functional": "PBE",
  "state": "optimized geometry",
  "lattice_angstrom": [[-5.531, 1.480, 1.522], [-0.516, -1.742, 11.347], [-0.987, 6.418, 1.703]],
  "species": ["Tb", "Tb", "Tb", "Tb", "Tb", "Tb", "Tb", "Ho", "Ho", "Ho", "Ho", "Th"],
  "frac_coords": [[0.787, 0.922, 0.505], [0.213, 0.078, 0.495], [0.060, 0.676, 0.204], [0.940, 0.324, 0.796], [0.368, 0.502, 0.763], [0.500, 0.000, 0.000], [0.632, 0.498, 0.237], [0.637, 0.224, 0.502], [0.363, 0.776, 0.498], [0.752, 0.682, 0.814], [0.248, 0.318, 0.186], [0.000, 0.000, 0.000]],
  "ef_ev_per_atom": 0.31,
  "n_ef_per_ev_fu": 17.99,
  "vol_a3_per_atom": 33.022,
  "crystal_system": "monoclinic",
  "polymorph_energy_mev_per_atom": 302,
  "energy_ev_per_cell": -54.5
}